Compound: Cs2ScSn
Source: Alexandria via LeMat-Bulk
Functional: GGA-PBE
Structure: relaxed

Calculated values
ΔE_f = 0.66 eV per atom
raw total energy = -0.173 Ry per atom
crystal system = cubic
volume = 44.47 Å³ per atom
Fermi-level density of states = 4.108 states/eV/f.u.

Lattice parameters (Å, degrees): 8.927 8.927 8.927 90.00 90.00 90.00
Space group Fm-3m (No. 225)
One atom of each set of equivalent atoms:
Cs 0.250 0.250 0.250
Sc 0.000 0.000 0.000
Sn 0.000 0.000 0.500